1.
KCr2Cl, relaxed, DFT PBE-GGA; symmetry = I4/mmm, No. 139; energy = -20.3 eV/cell; energy above the lowest structure with this stoichiometry = 468 meV per atom
1.0
-6.4198 1.9041 -3.5918
-6.7933 -3.3106 -0.7948
5.6486 2.0823 4.6365
Cr Cl K
2 1 1
Cartesian
-6.6066 -0.7033 -2.1933
0.0000 0.0000 0.0000
-3.6889 1.6416 -0.5743
-3.8756 -0.9658 0.8242

***

2.
Sb3AuN, relaxed, DFT PBE-GGA; symmetry = Pm-3m, No. 221; energy = -21.1 eV/cell; energy above the lowest structure with this stoichiometry = 0 meV per atom
1.0
-2.4935 2.4555 -3.2007
-3.9063 -0.5299 2.6366
1.0076 4.0226 2.3011
Au Sb N
1 3 1
Cartesian
-2.6961 2.9741 0.8685
0.5038 2.0113 1.1506
-1.2467 1.2278 -1.6004
-1.9531 -0.2649 1.3183
0.0000 0.0000 0.0000

***

3.
CaCeIO6, relaxed, DFT PBE-GGA; symmetry = P-31c, No. 163; energy = -112.1 eV/cell
1.0
5.7418 0.0000 0.0000
-2.8709 4.9726 0.0000
0.0000 0.0000 9.6156
O I Ce Ca
12 2 2 2
Cartesian
4.5475 1.6901 1.3200
-0.8665 1.8794 6.1277
0.8665 1.8794 8.2956
-1.6766 3.2825 8.2956
2.0044 3.0932 1.3200
1.1943 1.6901 3.4878
1.6766 3.2825 6.1277
0.8101 4.7833 8.2956
-0.8101 4.7833 6.1277
3.6810 0.1893 3.4878
2.0609 0.1893 1.3200
3.7374 3.0932 3.4878
2.8709 1.6575 2.4039
0.0000 3.3150 7.2117
2.8709 1.6575 7.2117
0.0000 3.3150 2.4039
0.0000 0.0000 4.8078
0.0000 0.0000 0.0000